Entry 1:
Below is a relaxed structure of BeOs3Pd, with properties calculated at the GGA-PBE level.

The structure belongs to space group Pm-3m (No. 221); the cell edges are 4.1052, 4.1052 and 4.1052 Å and the angles 90.00°, 90.00° and 90.00°. The asymmetric unit holds Be at (0.0000, 0.0000, 0.0000), Os at (0.0000, 0.0000, 0.5000) and Pd at (0.5000, 0.5000, 0.5000).

As for the energy of formation from the pure elements: 0.818 eV per atom. The calculation puts the calculated total energy at -7.704 eV per atom. The density of states at the Fermi level is 5.35 states/eV/cell. Its size of the total moment is 0.00 μB/f.u. The energy relative to the lowest polymorph listed for this composition comes out at 0.00 eV per formula unit.



Entry 2:
Below is a relaxed structure of BeOs3Pd, with properties calculated at the GGA-PBE level.

The structure belongs to space group Pm-3m (No. 221); the cell edges are 4.7329, 4.7329 and 4.7329 Å and the angles 90.00°, 90.00° and 90.00°. The asymmetric unit holds Be at (0.0000, 0.0000, 0.0000), Os at (0.0000, 0.5000, 0.5000) and Pd at (0.5000, 0.5000, 0.5000).

As for the energy of formation from the pure elements: 3.021 eV per atom. The calculation puts the calculated total energy at -5.501 eV per atom. The density of states at the Fermi level is 6.61 states/eV/cell. Its size of the total moment is 5.75 μB/f.u. The energy relative to the lowest polymorph listed for this composition comes out at 11.02 eV per formula unit.



Q: Which of these has the highest energy relative to the lowest polymorph listed for this composition?
A: number 2